# 1
Entry from Alexandria via LeMat-Bulk: a relaxed YZr3Tc crystal (PBE-GGA).

Values from the calculation:
**ΔH_f (0 K)**: 1.8887 eV/atom
**Crystal system**: cubic

a b c (Å): 5.020 5.020 5.020
angles (deg): 90.00 90.00 90.00
Space group Pm-3m (No. 221)
Symmetry-distinct sites (fractional):
1 Y 0.000 0.000 0.000 x1
2 Zr 0.000 0.000 0.500 x3
3 Tc 0.500 0.500 0.500 x1


# 2
Entry from Alexandria via LeMat-Bulk: a relaxed Pm2HoTm crystal (PBE-GGA).

Values from the calculation:
**ΔH_f (0 K)**: 0.0187 eV/atom
**Crystal system**: orthorhombic

a b c (Å): 10.049 10.170 5.070
angles (deg): 90.00 90.00 90.00
Space group Cmcm (No. 63)
Symmetry-distinct sites (fractional):
1 Pm 0.250 0.125 0.250 x8
2 Ho 0.000 0.125 0.750 x4
3 Tm 0.000 0.376 0.250 x4


# 3
Entry from Alexandria via LeMat-Bulk: a relaxed YThB2O8 crystal (PBE-GGA).

Values from the calculation:
**E_form (uncorrected)**: -2.467 eV per atom
**Crystal system**: tetragonal

a b c (Å): 4.729 4.729 11.489
angles (deg): 90.00 90.00 90.00
Space group I-4 (No. 82)
Symmetry-distinct sites (fractional):
1 Y 0.000 0.000 0.000 x2
2 Th 0.000 0.500 0.250 x2
3 B 0.000 0.000 0.500 x2
4 B 0.000 0.500 0.750 x2
5 O 0.097 0.745 0.820 x8
6 O 0.108 0.243 0.432 x8


# 4
Entry from Alexandria via LeMat-Bulk: a relaxed CrMoPd crystal (PBE-GGA).

Values from the calculation:
**ΔH_f (0 K)**: 0.2682 eV/atom
**Crystal system**: orthorhombic

a b c (Å): 13.469 2.746 4.702
angles (deg): 90.00 90.00 90.00
Space group Amm2 (No. 38)
Symmetry-distinct sites (fractional):
1 Cr 0.165 0.000 0.000 x4
2 Mo 0.000 0.000 0.763 x2
3 Mo 0.500 0.000 0.670 x2
4 Pd 0.326 0.000 0.337 x4